# MgAsRu2

An optimized crystal structure of MgAsRu2 (GGA-PBEsol, Alexandria via LeMat-Bulk).

Computed properties:
Density ... 8.2 g cm⁻³
SG ... No. 65
Crystal system ... orthorhombic
Raw total energy ... -6.588 eV per atom
Energy relative to the elements ... 0.205 eV/atom

a b c (Å): 2.8938 2.8938 8.1202
angles (deg): 90.00 90.00 116.20
Last column: nearest neighbours and their distance in Å.
Sites, in units of the cell vectors:
As: 0.5000 0.5000 0.5000  4 Ru 2.38
Mg: 0.5000 0.5000 0.0000  4 Ru 2.71, 4 Mg 2.89
Ru: 0.0000 0.0000 0.2756  2 As 2.38
Ru: 0.0000 0.0000 0.7244  2 As 2.38


# Tm4MgS7

An optimized crystal structure of Tm4MgS7 (GGA-PBEsol, Alexandria via LeMat-Bulk).

Computed properties:
Density ... 6.2 g cm⁻³
SG ... No. 8
E_form (uncorrected) ... -1996 meV/atom
Crystal system ... monoclinic
Raw total energy ... -6.330 eV per atom

a b c (Å): 3.7075 6.4228 11.2228
angles (deg): 104.53 90.00 106.78
Last column: nearest neighbours and their distance in Å.
Sites, in units of the cell vectors:
Tm: 0.3020 0.6040 0.1966  7 S 2.66-2.94
Tm: 0.6886 0.3772 0.7941  6 S 2.63-2.83
Tm: 0.9958 0.9917 0.0049  6 S 2.60-2.67
Tm: 0.8890 0.7780 0.5693  6 S 2.61-2.69
Mg: 0.1177 0.2355 0.4224  6 S 2.53-2.63
S: 0.2617 0.5235 0.6424  1 Mg 2.63, 4 Tm 2.69-2.82
S: 0.7371 0.4741 0.3507  2 Mg 2.62, 3 Tm 2.67-2.79
S: 0.6577 0.3155 0.0478  5 Tm 2.67-2.97
S: 0.3354 0.6709 0.9465  5 Tm 2.66-2.94
S: 0.9619 0.9238 0.2239  1 Mg 2.53, 3 Tm 2.60-2.66
S: 0.0354 0.0708 0.7869  4 Tm 2.62-2.63
S: 0.5175 0.0350 0.5145  2 Mg 2.59, 2 Tm 2.61